(1)
Below is a relaxed KRb3Cr2Cl8 crystal, with properties calculated at the PBE level.

Properties
Formation energy (no corrections) ... -138.1 kJ per mole of atoms
N(E_F) ... 12.805 states/eV per cell
V ... 482.52 Å³/cell
Crystal system ... trigonal

abc: 7.654 7.654 9.510
angles: 90.00 90.00 120.00
Positions (direct):
Cl 0.333 0.667 0.943
Cl 0.824 0.648 0.698
Cl 0.176 0.824 0.302
Cl 0.648 0.824 0.302
Cl 0.352 0.176 0.698
Cl 0.667 0.333 0.057
Cl 0.176 0.352 0.302
Cl 0.824 0.176 0.698
Rb 0.333 0.667 0.611
Rb 0.000 0.000 0.000
Rb 0.667 0.333 0.389
Cr 0.667 0.333 0.815
Cr 0.333 0.667 0.185
K 0.000 0.000 0.500


(2)
Below is a relaxed K2RbCrCl6 crystal, with properties calculated at the PBE level.

Properties
Formation energy (no corrections) ... -157.6 kJ per mole of atoms
N(E_F) ... 0.000 states/eV per cell
V ... 604.24 Å³/cell
Crystal system ... monoclinic

abc: 7.380 7.729 10.595
angles: 90.00 91.05 90.00
Positions (direct):
Cl 0.760 0.836 0.558
Cl 0.350 0.742 0.431
Cl 0.150 0.242 0.069
Cl 0.850 0.758 0.931
Cl 0.618 0.042 0.295
Cl 0.882 0.542 0.205
Cl 0.650 0.258 0.569
Cl 0.260 0.664 0.058
Cl 0.382 0.958 0.705
Cl 0.118 0.458 0.795
Cl 0.740 0.336 0.942
Cl 0.240 0.164 0.442
K 0.474 0.426 0.253
K 0.526 0.574 0.747
K 0.026 0.926 0.247
K 0.974 0.074 0.753
Cr 0.000 0.500 0.000
Cr 0.500 0.000 0.500
Rb 0.500 0.000 0.000
Rb 0.000 0.500 0.500


(3)
Below is a relaxed K2RbCrCl8 crystal, with properties calculated at the PBE level.

Properties
Formation energy (no corrections) ... -128.8 kJ per mole of atoms
N(E_F) ... 9.355 states/eV per cell
V ... 340.31 Å³/cell
Crystal system ... triclinic

abc: 6.774 5.641 9.255
angles: 74.21 90.02 90.13
Positions (direct):
Cl 0.759 0.823 0.887
Cl 0.500 0.246 0.497
Cl 0.241 0.177 0.113
Cl 0.000 0.667 0.213
Cl 0.500 0.754 0.503
Cl 0.000 0.333 0.787
Cl 0.239 0.822 0.887
Cl 0.761 0.178 0.113
K 0.501 0.344 0.812
K 0.499 0.656 0.188
Rb 0.000 0.000 0.500
Cr 0.000 0.000 0.000


(4)
Below is a relaxed KRbCr2Cl8 crystal, with properties calculated at the PBE level.

Properties
Formation energy (no corrections) ... -120.2 kJ per mole of atoms
N(E_F) ... 13.539 states/eV per cell
V ... 422.86 Å³/cell
Crystal system ... trigonal

abc: 6.906 6.906 10.238
angles: 90.00 90.00 120.00
Positions (direct):
Cl 0.658 0.691 0.719
Cl 0.342 0.309 0.281
Cl 0.033 0.342 0.719
Cl 0.667 0.333 0.013
Cl 0.309 0.967 0.719
Cl 0.967 0.658 0.281
Cl 0.333 0.667 0.987
Cl 0.691 0.033 0.281
Cr 0.667 0.333 0.226
Cr 0.333 0.667 0.774
Rb 0.000 0.000 0.000
K 0.000 0.000 0.500


(5)
Below is a relaxed KCrRhCl6 crystal, with properties calculated at the PBE level.

Properties
Formation energy (no corrections) ... -100.2 kJ per mole of atoms
N(E_F) ... 0.226 states/eV per cell
V ... 243.65 Å³/cell
Crystal system ... monoclinic

abc: 6.255 6.255 7.038
angles: 89.15 90.86 62.27
Positions (direct):
Cr 0.669 0.669 0.500
Rh 0.335 0.335 0.500
Cl 0.369 0.992 0.677
Cl 0.970 0.653 0.708
Cl 0.633 0.371 0.693
Cl 0.371 0.633 0.307
Cl 0.992 0.369 0.323
Cl 0.653 0.970 0.292
K 0.009 0.009 0.000


(6)
Below is a relaxed KCrRuCl2 crystal, with properties calculated at the PBE level.

Properties
Formation energy (no corrections) ... -4.9 kJ per mole of atoms
N(E_F) ... 2.270 states/eV per cell
V ... 123.23 Å³/cell
Crystal system ... tetragonal

abc: 5.161 4.626 5.161
angles: 90.00 90.00 90.00
Positions (direct):
Cr 0.000 0.500 0.000
Cl 0.500 0.000 0.000
Cl 0.000 0.000 0.500
K 0.500 0.500 0.500
Ru 0.000 0.000 0.000


(7)
Below is a relaxed KCrSCl2 crystal, with properties calculated at the PBE level.

Properties
Formation energy (no corrections) ... 33.2 kJ per mole of atoms
N(E_F) ... 6.591 states/eV per cell
Distance to the lowest polymorph of the same formula ... 136.5 kJ per mole of atoms
V ... 175.61 Å³/cell
Crystal system ... tetragonal

abc: 5.588 5.588 5.623
angles: 90.00 90.00 90.00
Positions (direct):
Cl 0.000 0.500 0.000
Cl 0.500 0.000 0.000
S 0.000 0.000 0.500
K 0.000 0.000 0.000
Cr 0.500 0.500 0.500


(8)
Below is a relaxed KCrSCl2 crystal, with properties calculated at the PBE level.

Properties
Formation energy (no corrections) ... -103.4 kJ per mole of atoms
N(E_F) ... 2.150 states/eV per cell
Distance to the lowest polymorph of the same formula ... 0.0 kJ per mole of atoms
V ... 116.75 Å³/cell
Crystal system ... tetragonal

abc: 5.071 5.071 4.540
angles: 90.00 90.00 90.00
Positions (direct):
S 0.000 0.000 0.500
Cl 0.500 0.000 0.000
Cl 0.000 0.500 0.000
K 0.500 0.500 0.500
Cr 0.000 0.000 0.000


(9)
Below is a relaxed KScCrCl6 crystal, with properties calculated at the PBE level.

Properties
Formation energy (no corrections) ... -163.6 kJ per mole of atoms
N(E_F) ... 13.274 states/eV per cell
V ... 517.74 Å³/cell
Crystal system ... trigonal

abc: 6.537 6.537 13.989
angles: 90.00 90.00 120.00
Positions (direct):
Cl 0.628 0.000 0.852
Cl 0.000 0.628 0.352
Cl 0.628 0.628 0.148
Cl 0.372 0.000 0.648
Cl 0.372 0.372 0.852
Cl 0.000 0.372 0.648
Cl 0.628 0.000 0.352
Cl 0.628 0.628 0.648
Cl 0.372 0.372 0.352
Cl 0.372 0.000 0.148
Cl 0.000 0.372 0.148
Cl 0.000 0.628 0.852
Sc 0.333 0.667 0.750
Sc 0.667 0.333 0.250
Cr 0.667 0.333 0.750
Cr 0.333 0.667 0.250
K 0.000 0.000 0.000
K 0.000 0.000 0.500


(10)
Below is a relaxed KCrSn2Cl8 crystal, with properties calculated at the PBE level.

Properties
Formation energy (no corrections) ... -113.9 kJ per mole of atoms
V ... 365.03 Å³/cell
Crystal system ... triclinic

abc: 7.382 6.208 8.521
angles: 105.23 75.67 93.01
Positions (direct):
Cl 0.715 0.819 0.086
Cl 0.923 0.289 0.257
Cl 0.285 0.181 0.914
Cl 0.838 0.204 0.882
Cl 0.162 0.796 0.118
Cl 0.077 0.711 0.743
Cl 0.376 0.255 0.488
Cl 0.624 0.745 0.512
Sn 0.610 0.455 0.229
Sn 0.390 0.545 0.771
K 0.000 0.000 0.500
Cr 0.000 0.000 0.000


(11)
Below is a relaxed K2CrSnCl crystal, with properties calculated at the PBE level.

Properties
Formation energy (no corrections) ... 14.5 kJ per mole of atoms
N(E_F) ... 2.477 states/eV per cell
V ... 208.63 Å³/cell
Crystal system ... tetragonal

abc: 6.809 4.500 6.809
angles: 90.00 90.00 90.00
Positions (direct):
Cl 0.000 0.500 0.000
K 0.500 0.000 0.000
K 0.000 0.000 0.500
Cr 0.000 0.000 0.000
Sn 0.500 0.500 0.500


(12)
Below is a relaxed K3Cr2SnCl9 crystal, with properties calculated at the PBE level.

Properties
Formation energy (no corrections) ... -130.8 kJ per mole of atoms
N(E_F) ... 1.361 states/eV per cell
V ... 414.20 Å³/cell
Crystal system ... trigonal

abc: 7.223 7.223 9.166
angles: 90.00 90.00 120.00
Positions (direct):
Cl 0.000 0.500 0.000
Cl 0.346 0.173 0.690
Cl 0.500 0.000 0.000
Cl 0.827 0.173 0.690
Cl 0.173 0.346 0.310
Cl 0.173 0.827 0.310
Cl 0.654 0.827 0.310
Cl 0.500 0.500 0.000
Cl 0.827 0.654 0.690
K 0.000 0.000 0.000
K 0.667 0.333 0.293
K 0.333 0.667 0.707
Cr 0.667 0.333 0.846
Cr 0.333 0.667 0.154
Sn 0.000 0.000 0.500


Which of these has the lowest formation energy (no corrections)? KScCrCl6


The highest formation energy (no corrections) belongs to which entry? number 7


What did the fifth record say?
Below is a relaxed KCrRhCl6 crystal, with properties calculated at the PBE level.

Properties
Formation energy (no corrections) ... -100.2 kJ per mole of atoms
N(E_F) ... 0.226 states/eV per cell
V ... 243.65 Å³/cell
Crystal system ... monoclinic

abc: 6.255 6.255 7.038
angles: 89.15 90.86 62.27
Positions (direct):
Cr 0.669 0.669 0.500
Rh 0.335 0.335 0.500
Cl 0.369 0.992 0.677
Cl 0.970 0.653 0.708
Cl 0.633 0.371 0.693
Cl 0.371 0.633 0.307
Cl 0.992 0.369 0.323
Cl 0.653 0.970 0.292
K 0.009 0.009 0.000